Record 1
# PBE MgTaPbCl2, relaxed
data_MgTaPbCl2
_chemical_formula_sum 'Mg1 Ta1 Pb1 Cl2'
_cell_length_a 5.469
_cell_length_b 5.469
_cell_length_c 5.849
_cell_angle_alpha 90.00
_cell_angle_beta 90.00
_cell_angle_gamma 90.00
_symmetry_space_group_name_H-M 'P 4/m m m'
_symmetry_Int_Tables_number 123
_symmetry_space_group_name_Hall '-P 4 2'
loop_
_atom_site_label
_atom_site_type_symbol
_atom_site_fract_x
_atom_site_fract_y
_atom_site_fract_z
_atom_site_occupancy
Mg1 Mg 0.000 0.000 0.000 1
Ta1 Ta 0.500 0.500 0.000 1
Pb1 Pb 0.500 0.500 0.500 1
Cl1 Cl 0.000 0.500 0.500 1
# * E_form (uncorrected): 0.744 eV per atom



Record 2
# PBE MgPb2Se, relaxed
data_MgPb2Se
_chemical_formula_sum 'Mg4 Pb8 Se4'
_cell_length_a 6.805
_cell_length_b 6.805
_cell_length_c 13.052
_cell_angle_alpha 90.00
_cell_angle_beta 90.00
_cell_angle_gamma 90.00
_symmetry_space_group_name_H-M 'I -4 2 d'
_symmetry_Int_Tables_number 122
_symmetry_space_group_name_Hall 'I -4 2bw'
loop_
_atom_site_label
_atom_site_type_symbol
_atom_site_fract_x
_atom_site_fract_y
_atom_site_fract_z
_atom_site_occupancy
Mg1 Mg 0.000 0.000 0.000 1
Pb1 Pb 0.245 0.250 0.625 1
Se1 Se 0.000 0.000 0.500 1
# * E_form (uncorrected): 0.081 eV per atom



Record 3
# HfCdAu

A relaxed structure of HfCdAu (PBE, the Alexandria database).

Geometry as CIF:
```
data_HfCdAu
_chemical_formula_sum 'Hf1 Cd1 Au1'
_cell_length_a 4.7914
_cell_length_b 4.7914
_cell_length_c 2.9606
_cell_angle_alpha 90.00
_cell_angle_beta 90.00
_cell_angle_gamma 120.00
_symmetry_space_group_name_H-M 'P -6 m 2'
_symmetry_Int_Tables_number 187
_symmetry_space_group_name_Hall 'P -6 2'
loop_
_atom_site_label
_atom_site_type_symbol
_atom_site_fract_x
_atom_site_fract_y
_atom_site_fract_z
_atom_site_occupancy
Hf1 Hf 0.0000 0.0000 0.0000 1
Cd1 Cd 0.3333 0.6667 0.5000 1
Au1 Au 0.6667 0.3333 0.5000 1
```



Record 4
# PBE Na2YNpO6, relaxed
data_Na2YNpO6
_chemical_formula_sum 'Na4 Y2 Np2 O12'
_cell_length_a 5.768
_cell_length_b 5.916
_cell_length_c 10.081
_cell_angle_alpha 90.00
_cell_angle_beta 124.88
_cell_angle_gamma 90.00
_symmetry_space_group_name_H-M 'P 1 21/c 1'
_symmetry_Int_Tables_number 14
loop_
_symmetry_equiv_pos_as_xyz
'x,y,z'
'-x,-y,-z'
'-x,y+1/2,-z+1/2'
'x,-y+1/2,z+1/2'
loop_
_atom_site_label
_atom_site_type_symbol
_atom_site_fract_x
_atom_site_fract_y
_atom_site_fract_z
_atom_site_occupancy
Na1 Na 0.241 0.037 0.248 1
Y1 Y 0.000 0.000 0.500 1
Np1 Np 0.500 0.000 0.000 1
O1 O 0.166 0.187 0.952 1
O2 O 0.263 0.716 0.946 1
O3 O 0.363 0.037 0.765 1
# * E_form (uncorrected): -2.626 eV per atom



The following calculated total energy values (in eV per atom) correspond, in order, to the records above: -3.426, -3.043, -4.929, -7.806.
The following total magnetic moment values (in μB per formula unit) correspond, in order, to the records above: 3.360, 0.000, 0.000, 0.000.